A plane-wave DFT calculation with GGA+U was carried out for a relaxed structure of LiMn2O3F.

Cell: 7.9425 7.9425 7.9425 Å, 134.67 115.15 82.64°
Site moments in Bohr magnetons follow the coordinates.
Fractional coordinates of all 28 atoms:
Li 0.2762 0.3774 0.8988  0.01
Li 0.5214 0.6226 0.8988  0.01
Li 0.9824 0.8707 0.1117  0.01
Li 0.2410 0.1293 0.1117  0.01
Mn 0.4846 0.0000 0.4846  3.98
Mn 0.2417 0.7501 0.4916  3.94
Mn 0.7415 0.2499 0.4916  3.94
Mn 0.6248 0.6192 0.4924  3.96
Mn 0.6248 0.1325 0.0056  3.96
Mn 0.8732 0.8675 0.4924  3.96
Mn 0.8732 0.3808 0.0056  3.96
Mn 0.0149 0.5000 0.5149  3.98
O 0.3935 0.6615 0.3078  -0.12
O 0.6463 0.9143 0.3078  -0.12
O 0.3935 0.0857 0.7320  -0.12
O 0.6463 0.3385 0.7320  -0.12
O 0.7542 0.0000 0.7542  0.01
O 0.9738 0.7331 0.2407  0.01
O 0.5075 0.2669 0.2407  0.01
O 0.7432 0.5000 0.2432  0.19
O 0.8541 0.1606 0.2652  -0.12
O 0.1046 0.4111 0.2652  -0.12
O 0.8541 0.5889 0.6935  -0.12
O 0.1046 0.8394 0.6935  -0.12
F 0.2611 0.5000 0.7611  0.04
F 0.5114 0.7503 0.7611  0.08
F 0.0109 0.2497 0.7611  0.08
F 0.2411 0.0000 0.2411  0.04

Electronic total energy: -6.706 eV/atom
Magnetic moment: 8.00 μB/f.u.
Space-group type: Imm2, No. 44